Material: Pr4TlTe
Method: DFT, PBE
State: optimized geometry

distance to the lowest polymorph of the same formula = 68.9 meV per atom
symmetry = Cmcm, No. 63
ΔE_f (raw) = -286 kJ/mol of formula units

abc: 11.424 11.424 6.587
angles: 90.00 90.00 150.25
Atoms (fractional coordinates):
Pr 0.067 0.933 0.750
Pr 0.215 0.785 0.503
Pr 0.215 0.785 0.997
Pr 0.375 0.625 0.750
Pr 0.625 0.375 0.250
Pr 0.785 0.215 0.003
Pr 0.785 0.215 0.497
Pr 0.933 0.067 0.250
Tl 0.352 0.648 0.250
Tl 0.648 0.352 0.750
Te 0.075 0.925 0.250
Te 0.925 0.075 0.750